A geometry-optimized CSe2 structure. Source: Alexandria, functional PBE-GGA.

The structure belongs to space group C2/m (No. 12); the cell edges are 9.981, 3.026 and 10.705 Å and the angles 90.00°, 115.67° and 90.00°. The inequivalent atoms are C at (0.004, 0.000, 0.439), Se at (0.011, 0.500, 0.331) and Se at (0.127, 0.000, 0.053).

As for the density of states at the Fermi level: 4.56 states/eV per cell. The value obtained for the calculated total energy is -4.837 eV/atom.

***

A geometry-optimized Hf2NpPd structure. Source: Alexandria, functional PBE-GGA.

The structure belongs to space group P4/mmm (No. 123); the cell edges are 5.045, 5.045 and 3.086 Å and the angles 90.00°, 90.00° and 90.00°. The inequivalent atoms are Hf at (0.000, 0.500, 0.000), Np at (0.000, 0.000, 0.500) and Pd at (0.500, 0.500, 0.500).

As for the density of states at the Fermi level: 5.68 states/eV per cell. The value obtained for the calculated total energy is -9.580 eV/atom. The value obtained for the formation energy is -7 kJ/mol of atoms.

***

no.,polymorph energy (0 for the lowest one) (eV/atom)
1,0.0000
2,0.0640